(1)
This record from Alexandria describes a geometry-optimized CdSnPd2 structure. The functional is PBE.

Cell: 7.0198 7.0198 7.0198 Å, 31.20 31.20 31.20°
With the nearest neighbours (Å) after each atom.
Positions (direct):
Cd 0.0000 0.0000 0.0000  6 Pd 2.78-2.81
Sn 0.8320 0.8320 0.8320  6 Pd 2.69-2.70
Pd 0.2450 0.2450 0.2450  3 Sn 2.70, 3 Cd 2.81
Pd 0.4199 0.4199 0.4199  3 Sn 2.69, 3 Cd 2.78

Computed properties:
Crystal system   trigonal
Space group   No. 160
Energy   -4.058 eV per atom
Energy relative to the elements   -0.93 eV per formula unit

---

(2)
This record from Alexandria describes a geometry-optimized VHgH structure. The functional is PBE.

Cell: 4.6619 4.6619 2.9056 Å, 90.00 90.00 120.00°
With the nearest neighbours (Å) after each atom.
Positions (direct):
V 0.0000 0.0000 0.0000  3 Hg 2.69, 2 V 2.91
Hg 0.6667 0.3333 0.0000  3 V 2.69, 2 Hg 2.91
H 0.3333 0.6667 0.5000  2 H 2.91, 6 V 3.06, 6 Hg 3.06

Computed properties:
Crystal system   hexagonal
Space group   No. 187
Energy   -2.993 eV per atom
Relative energy among the computed polymorphs   1249.3 meV per atom

---

(3)
This record from Alexandria describes a geometry-optimized BaNdTaN3 structure. The functional is PBE.

Cell: 7.2589 7.2589 7.8091 Å, 104.84 104.84 32.83°
With the nearest neighbours (Å) after each atom.
Positions (direct):
Ba 0.1473 0.1473 0.0749  6 N 2.76-3.06
Ba 0.8527 0.8527 0.9251  6 N 2.76-3.06
Nd 0.1576 0.1576 0.5789  7 N 2.49-2.74
Nd 0.8424 0.8424 0.4211  7 N 2.49-2.74
Ta 0.4980 0.4980 0.6959  4 N 2.02-2.10
Ta 0.5020 0.5020 0.3041  4 N 2.02-2.10
N 0.0049 0.0049 0.3130  2 Ta 2.05
N 0.3428 0.3428 0.6533  1 Ta 2.10
N 0.3526 0.3526 0.2010  1 Ta 2.02
N 0.6474 0.6474 0.7990  1 Ta 2.02
N 0.6572 0.6572 0.3467  1 Ta 2.10
N 0.9951 0.9951 0.6870  2 Ta 2.05

Computed properties:
Crystal system   monoclinic
Space group   No. 12
Energy   -8.236 eV per atom
Energy relative to the elements, uncorrected   -0.983 eV/atom

---

(4)
This record from Alexandria describes a geometry-optimized RbHg2AuF structure. The functional is PBE.

Cell: 7.2933 7.2933 4.9646 Å, 90.00 90.00 90.00°
With the nearest neighbours (Å) after each atom.
Positions (direct):
Rb 0.0000 0.0000 0.0000  2 F 2.48
Hg 0.0000 0.5000 0.0000  2 Rb 3.65
Hg 0.5000 0.0000 0.0000  2 Rb 3.65
Au 0.5000 0.5000 0.5000  8 Hg 4.41
F 0.0000 0.0000 0.5000  2 Rb 2.48

Computed properties:
Crystal system   tetragonal
Space group   No. 123
Energy   -1.616 eV per atom
Energy relative to the elements, uncorrected   -0.272 eV/atom

---

(5)
This record from Alexandria describes a geometry-optimized MnTl4Ru structure. The functional is PBE.

Cell: 6.0493 6.0493 6.0493 Å, 60.00 60.00 60.00°
With the nearest neighbours (Å) after each atom.
Positions (direct):
Mn 0.0000 0.0000 0.0000  12 Tl 3.55, 4 Ru 3.70
Tl 0.3752 0.3752 0.3752  6 Tl 3.02-3.03
Tl 0.3752 0.3752 0.8743  6 Tl 3.02-3.03
Tl 0.3752 0.8743 0.3752  6 Tl 3.02-3.03
Tl 0.8743 0.3752 0.3752  6 Tl 3.02-3.03
Ru 0.7500 0.7500 0.7500  12 Tl 3.55, 4 Mn 3.70

Computed properties:
Crystal system   cubic
Space group   No. 216
Energy   -3.605 eV per atom
Energy relative to the elements   6.28 eV per formula unit

---

(6)
This record from Alexandria describes a geometry-optimized Eu2PbAu structure. The functional is PBE.

Cell: 3.7495 3.7495 8.2434 Å, 90.00 90.00 90.00°
With the nearest neighbours (Å) after each atom.
Positions (direct):
Eu 0.0000 0.0000 0.2265  4 Au 3.24, 4 Pb 3.48
Eu 0.0000 0.0000 0.7735  4 Au 3.24, 4 Pb 3.48
Pb 0.5000 0.5000 0.5000  8 Eu 3.48, 4 Pb 3.75
Au 0.5000 0.5000 0.0000  8 Eu 3.24

Computed properties:
Crystal system   tetragonal
Space group   No. 123
Energy   -7.568 eV per atom
Energy relative to the elements   -2.74 eV per formula unit

---

(7)
This record from Alexandria describes a geometry-optimized Li2CrCu structure. The functional is PBE.

Cell: 5.0365 5.0365 4.7834 Å, 112.59 112.59 32.78°
With the nearest neighbours (Å) after each atom.
Positions (direct):
Li 0.0000 0.0000 0.0000  5 Li 2.61-2.84, 4 Cu 2.68-2.89, 3 Cr 2.85-2.91
Li 0.2367 0.2367 0.8656  5 Li 2.61-2.84, 2 Cu 2.64, 4 Cr 2.78-2.82
Cr 0.7703 0.7703 0.3976  3 Cu 2.61-2.70, 7 Li 2.78-2.91, 2 Cr 2.84
Cu 0.5097 0.5097 0.4813  3 Cr 2.61-2.70, 6 Li 2.64-2.89, 2 Cu 2.84

Computed properties:
Crystal system   monoclinic
Space group   No. 8
Energy   -4.052 eV per atom
Relative energy among the computed polymorphs   71.5 meV per atom
Energy relative to the elements   1.34 eV per formula unit

---

(8)
This record from Alexandria describes a geometry-optimized Mg2PtSeBr structure. The functional is PBE.

Cell: 5.2610 5.2610 4.7202 Å, 90.00 90.00 90.00°
With the nearest neighbours (Å) after each atom.
Positions (direct):
Mg 0.0000 0.5000 0.0000  2 Pt 2.63
Mg 0.5000 0.0000 0.0000  2 Pt 2.63
Pt 0.0000 0.0000 0.0000  2 Se 2.36, 4 Mg 2.63
Se 0.0000 0.0000 0.5000  2 Pt 2.36
Br 0.5000 0.5000 0.5000  8 Mg 3.53, 4 Se 3.72

Computed properties:
Crystal system   tetragonal
Space group   No. 123
Energy   -3.305 eV per atom
Energy relative to the elements, uncorrected   -0.427 eV/atom